Material: AcLa3Cu4
Method: DFT, PBE
State: optimized geometry

abc: 5.237 7.344 10.479
angles: 90.00 90.00 90.00
Sites, in units of the cell vectors:
Cu  0.000  0.240  0.750
Cu  0.500  0.242  0.500
La  0.500  0.500  0.250
Cu  0.000  0.240  0.250
La  0.500  0.000  0.750
Ac  0.000  0.500  0.000
Ac  0.000  0.500  0.500
Cu  0.500  0.758  0.500
Cu  0.000  0.760  0.250
La  0.000  0.000  0.000
La  0.500  0.500  0.750
Cu  0.500  0.242  0.000
La  0.000  0.000  0.500
Cu  0.500  0.758  0.000
La  0.500  0.000  0.250
Cu  0.000  0.760  0.750

Results
As for the size of the total moment: 0.00 Bohr magnetons per cell. Its density of states at the Fermi level is 6.56 states/eV/f.u. The total energy comes out at -72.5 eV for the cell shown. Its space group is Pmmm (47).



Material: Al2ReNi
Method: DFT, PBE
State: optimized geometry

abc: 4.954 4.954 4.484
angles: 69.10 69.10 32.39
Sites, in units of the cell vectors:
Al  0.006  0.006  0.940
Ni  0.497  0.497  0.424
Re  0.761  0.761  0.810
Al  0.236  0.236  0.325

Results
As for the size of the total moment: 0.00 Bohr magnetons per cell. Its density of states at the Fermi level is 2.60 states/eV/f.u. The total energy comes out at -27.0 eV for the cell shown. Its space group is Cm (8).



Material: CeDy6Ho
Method: DFT, PBE
State: optimized geometry

abc: 6.742 6.472 6.915
angles: 77.13 60.30 89.29
Sites, in units of the cell vectors:
Ho  0.000  0.000  0.000
Dy  0.551  0.750  0.999
Dy  0.906  0.233  0.521
Dy  0.449  0.250  0.001
Dy  0.575  0.729  0.522
Dy  0.094  0.767  0.479
Ce  0.000  0.500  0.000
Dy  0.425  0.271  0.478

Results
As for the size of the total moment: 1.48 Bohr magnetons per cell. Its density of states at the Fermi level is 16.74 states/eV/f.u. The total energy comes out at -36.3 eV for the cell shown. Its space group is P-1 (2).



Material: HgTeBr2
Method: DFT, PBE
State: optimized geometry

abc: 3.445 4.512 7.150
angles: 90.00 90.00 90.00
Sites, in units of the cell vectors:
Br  0.000  0.000  0.520
Br  0.000  0.000  0.980
Hg  0.500  0.500  0.250
Te  0.500  0.500  0.750

Results
As for the size of the total moment: 0.00 Bohr magnetons per cell. Its density of states at the Fermi level is 2.06 states/eV/f.u. The calculation puts the formation energy (no corrections) at 0.25 eV/atom. The total energy comes out at -5.8 eV for the cell shown. Its space group is Pmmm (47).



Material: Pm2DyNi2
Method: DFT, PBE
State: optimized geometry

abc: 3.791 6.641 10.023
angles: 81.61 79.10 73.41
Sites, in units of the cell vectors:
Dy  0.206  0.947  0.641
Pm  0.456  0.397  0.692
Pm  0.661  0.748  0.931
Ni  0.005  0.876  0.114
Pm  0.339  0.252  0.069
Dy  0.794  0.053  0.359
Ni  0.995  0.124  0.886
Pm  0.544  0.603  0.308
Ni  0.886  0.681  0.547
Ni  0.114  0.319  0.453

Results
As for the size of the total moment: 0.00 Bohr magnetons per cell. Its density of states at the Fermi level is 4.48 states/eV/f.u. The total energy comes out at -54.2 eV for the cell shown. Its space group is C2/m (12).



Material: BeWSe2N
Method: DFT, PBE
State: optimized geometry

abc: 5.044 5.044 3.791
angles: 90.00 90.00 90.00
Sites, in units of the cell vectors:
W  0.000  0.000  0.000
N  0.000  0.000  0.500
Se  0.000  0.500  0.000
Be  0.500  0.500  0.500
Se  0.500  0.000  0.000

Results
As for the size of the total moment: 0.00 Bohr magnetons per cell. Its density of states at the Fermi level is 2.55 states/eV/f.u. The calculation puts the formation energy (no corrections) at 0.57 eV/atom. The total energy comes out at -29.1 eV for the cell shown. Its space group is P4/mmm (123).